This record from Alexandria via LeMat-Bulk describes Al2CrRe after structural relaxation. The functional is PBE.

Structure (extended XYZ):
```
4
Lattice="4.188 0.000 0.000 0.000 4.188 0.000 0.000 0.000 3.235" Properties=species:S:1:pos:R:3 pbc="T T T"
Re 0.000 2.094 1.618
Al 0.000 0.000 0.000
Al 2.094 2.094 0.000
Cr 2.094 0.000 1.618
```

Output
Offset from the most stable computed form, eV per atom: 0.215
Space-group type: P4/mmm, No. 123
E_tot, eV/atom: -7.4209